[1]
PBE SrAs3Se, optimized geometry; relative energy among the computed polymorphs = 0.0000 eV/atom
1.0
5.127 0.000 0.000
0.000 5.127 0.000
0.000 0.000 5.127
Sr As Se
1 3 1
direct
0.000 0.000 0.000
0.000 0.500 0.500
0.500 0.000 0.500
0.500 0.500 0.000
0.500 0.500 0.500

[2]
PBE Mg2ZrSe, optimized geometry; VASP energy = -16.293 eV/cell
1.0
2.863 -5.402 0.000
2.863 5.402 0.000
-1.937 0.000 2.766
Mg Zr Se
2 1 1
direct
0.000 0.500 0.000
0.500 0.000 0.000
0.000 0.000 0.500
0.500 0.500 0.500

What did we get for size of the total moment? Answer: 0.00 0.00 μB/atom, in the order shown.